(1)
## KHoAlTe3 (PBE-GGA)

Data for a geometry-optimized KHoAlTe3 structure.

abc: 4.7923 15.2487 11.6031
angles: 90.00 90.00 90.00
With the nearest neighbours (Å) after each atom.
Space group Cmcm (No. 63)
Asymmetric unit:
1 K 0.0000 0.2489 0.2500 x4  8 Te 3.68-4.11, 1 Al 4.12
2 Ho 0.0000 0.0000 0.0000 x4  6 Te 3.08-3.17
3 Al 0.0000 0.4812 0.7500 x4  4 Te 2.71-2.74
4 Te 0.0000 0.0678 0.7500 x4  2 Al 2.74
5 Te 0.0000 0.3733 0.5640 x8  1 Al 2.71

For the energy relative to the lowest polymorph listed for this composition, the calculation gives 0.000 eV/atom.

=====

(2)
## KHoAlTe3 (PBE-GGA)

Data for a geometry-optimized KHoAlTe3 structure.

abc: 12.0229 4.9576 13.1800
angles: 90.00 90.00 90.00
With the nearest neighbours (Å) after each atom.
Space group Pnma (No. 62)
Asymmetric unit:
1 K 0.1833 0.2500 0.0099 x4  7 Te 3.60-3.75, 3 Al 3.83-3.87
2 Ho 0.0237 0.2500 0.3208 x4  7 Te 3.18-3.31
3 Al 0.2379 0.2500 0.7235 x4  4 Te 2.67-2.74
4 Te 0.0488 0.7500 0.1659 x4  1 Al 2.67
5 Te 0.0908 0.2500 0.5647 x4  1 Al 2.74
6 Te 0.2120 0.7500 0.8058 x4  2 Al 2.72

For the energy relative to the lowest polymorph listed for this composition, the calculation gives 0.026 eV/atom.

=====

(3)
## LaHoAl2Pd4 (PBE-GGA)

Data for a geometry-optimized LaHoAl2Pd4 structure.

abc: 4.4026 4.4026 9.2880
angles: 90.00 90.00 120.00
With the nearest neighbours (Å) after each atom.
Space group P-6m2 (No. 187)
Asymmetric unit:
1 La 0.0000 0.0000 0.0000 x1  8 Pd 3.08-3.12
2 Ho 0.6667 0.3333 0.5000 x1  8 Pd 2.91-2.96
3 Al 0.3333 0.6667 0.2616 x2  6 Pd 2.63-2.64
4 Pd 0.0000 0.0000 0.3358 x2  3 Al 2.63, 3 Pd 2.90
5 Pd 0.6667 0.3333 0.1865 x2  3 Al 2.64, 3 Pd 2.90, 1 Ho 2.91

For the calculated total energy, the calculation gives -5.629 eV/atom.

=====

(4)
## LaHoAlTe3 (PBE-GGA)

Data for a geometry-optimized LaHoAlTe3 structure.

abc: 4.2301 15.6835 10.5197
angles: 90.00 90.00 90.00
With the nearest neighbours (Å) after each atom.
Space group Cmcm (No. 63)
Asymmetric unit:
1 La 0.0000 0.2215 0.2500 x4  6 Te 3.26-3.31
2 Ho 0.0000 0.0000 0.0000 x4  6 Te 3.15-3.20, 4 Al 3.39
3 Al 0.0000 0.4777 0.7500 x4  4 Te 2.92-3.04
4 Te 0.0000 0.1165 0.7500 x4  2 Al 3.04, 2 Ho 3.20, 2 La 3.31
5 Te 0.0000 0.3538 0.5429 x8  1 Al 2.92, 2 Ho 3.15, 2 La 3.26

For the calculated total energy, the calculation gives -4.754 eV/atom.

=====

(5)
## HoLuAl (PBE-GGA)

Data for a geometry-optimized HoLuAl structure.

abc: 6.4572 5.0286 9.3254
angles: 90.00 90.00 90.00
With the nearest neighbours (Å) after each atom.
Space group Pnma (No. 62)
Asymmetric unit:
1 Ho 0.1887 0.2500 0.0723 x4  5 Al 3.03-3.35, 2 Lu 3.37
2 Lu 0.0280 0.2500 0.7121 x4  3 Al 3.10-3.16, 2 Lu 3.30, 3 Ho 3.37-3.44
3 Al 0.2052 0.2500 0.3965 x4  5 Ho 3.03-3.35, 3 Lu 3.10-3.16

For the energy relative to the lowest polymorph listed for this composition, the calculation gives 0.000 eV/atom.

=====

(6)
## HoLuAl2 (PBE-GGA)

Data for a geometry-optimized HoLuAl2 structure.

abc: 5.0661 11.8267 6.1504
angles: 90.00 90.00 90.00
With the nearest neighbours (Å) after each atom.
Space group Ama2 (No. 40)
Asymmetric unit:
1 Ho 0.2500 0.1920 0.0000 x4  8 Al 3.09-3.39, 3 Lu 3.16-3.26
2 Lu 0.2500 0.4242 0.2538 x4  5 Al 3.05-3.13, 2 Lu 3.10, 3 Ho 3.16-3.26
3 Al 0.2500 0.1533 0.4975 x4  3 Al 2.92-3.12, 4 Ho 3.09-3.12, 3 Lu 3.12-3.13
4 Al 0.2500 0.4392 0.7595 x4  5 Al 2.91-3.12, 2 Lu 3.05-3.12

For the calculated total energy, the calculation gives -4.343 eV/atom.

=====

(7)
## HoLu2Al (PBE-GGA)

Data for a geometry-optimized HoLu2Al structure.

abc: 4.9456 10.3589 8.2451
angles: 90.00 90.00 90.00
With the nearest neighbours (Å) after each atom.
Space group Ama2 (No. 40)
Asymmetric unit:
1 Ho 0.2500 0.1113 0.0000 x4  4 Al 3.08-3.42, 3 Lu 3.26-3.42, 2 Ho 3.38
2 Lu 0.2500 0.1099 0.4124 x4  4 Al 3.07-3.39, 4 Lu 3.29-3.38, 1 Ho 3.40
3 Lu 0.2500 0.3806 0.2041 x4  4 Ho 3.26-3.47, 2 Al 3.27, 6 Lu 3.29-3.50
4 Al 0.2500 0.3255 0.7080 x4  6 Lu 3.07-3.39, 4 Ho 3.08-3.42

For the energy relative to the lowest polymorph listed for this composition, the calculation gives 0.024 eV/atom.

=====

(8)
## HoLuAl2 (PBE-GGA)

Data for a geometry-optimized HoLuAl2 structure.

abc: 6.9160 10.2594 5.0611
angles: 90.00 90.00 90.00
With the nearest neighbours (Å) after each atom.
Space group Cmcm (No. 63)
Asymmetric unit:
1 Ho 0.0000 0.1303 0.2500 x4  8 Al 3.06-3.16, 2 Lu 3.39
2 Lu 0.0000 0.3501 0.7500 x4  8 Al 3.02-3.13
3 Al 0.2294 0.3939 0.2500 x8  4 Lu 3.02-3.13, 4 Ho 3.06-3.16, 3 Al 3.17-3.34

For the calculated total energy, the calculation gives -4.527 eV/atom.

=====

(9)
## Ho2Lu5Al (PBE-GGA)

Data for a geometry-optimized Ho2Lu5Al structure.

abc: 5.4263 6.9052 11.9532
angles: 90.00 90.00 90.00
With the nearest neighbours (Å) after each atom.
Space group Amm2 (No. 38)
Asymmetric unit:
1 Ho 0.0000 0.0000 0.0000 x2  10 Lu 3.35-3.51, 2 Al 3.45
2 Ho 0.5000 0.0000 0.3413 x2  2 Al 3.36, 10 Lu 3.37-3.53
3 Lu 0.0000 0.2451 0.7544 x4  6 Lu 3.34-3.52, 4 Ho 3.39-3.51, 2 Al 3.41-3.49
4 Lu 0.5000 0.0000 0.8353 x2  8 Lu 3.34-3.47, 4 Ho 3.35-3.45
5 Lu 0.5000 0.2453 0.5852 x4  2 Al 3.33, 4 Ho 3.37-3.53, 6 Lu 3.38-3.52
6 Al 0.0000 0.0000 0.5068 x2  8 Lu 3.33-3.49, 4 Ho 3.36-3.45

For the calculated total energy, the calculation gives -4.481 eV/atom.

=====

(10)
## Ho2Lu2Al (PBE-GGA)

Data for a geometry-optimized Ho2Lu2Al structure.

abc: 3.5520 7.9059 10.2208
angles: 90.00 90.00 90.00
With the nearest neighbours (Å) after each atom.
Space group Immm (No. 71)
Asymmetric unit:
1 Ho 0.0000 0.0000 0.2496 x4  2 Al 3.11
2 Lu 0.0000 0.3006 0.0000 x4  2 Al 2.97, 1 Lu 3.15
3 Al 0.0000 0.5000 0.5000 x2  4 Lu 2.97, 4 Ho 3.11

For the calculated total energy, the calculation gives -4.419 eV/atom.

=====

(11)
## Ho2LuAl5 (PBE-GGA)

Data for a geometry-optimized Ho2LuAl5 structure.

abc: 4.8417 6.5435 10.7215
angles: 90.00 90.00 90.00
With the nearest neighbours (Å) after each atom.
Space group Amm2 (No. 38)
Asymmetric unit:
1 Ho 0.0000 0.0000 0.0000 x2  10 Al 3.02-3.28, 2 Lu 3.15
2 Ho 0.5000 0.0000 0.3012 x2  10 Al 3.11-3.22, 2 Lu 3.27
3 Lu 0.5000 0.0000 0.8116 x2  8 Al 2.98-3.27, 4 Ho 3.15-3.27
4 Al 0.0000 0.0000 0.4994 x2  6 Al 2.86-2.88
5 Al 0.0000 0.2276 0.7276 x4  4 Al 2.86-3.00, 2 Lu 2.98, 3 Ho 3.02-3.11
6 Al 0.5000 0.2152 0.5628 x4  5 Al 2.82-3.00, 1 Lu 3.02, 3 Ho 3.13-3.14

For the calculated total energy, the calculation gives -4.356 eV/atom.

=====

(12)
## Ho2Lu2Al3 (PBE-GGA)

Data for a geometry-optimized Ho2Lu2Al3 structure.

abc: 15.2188 3.3716 7.2788
angles: 90.00 110.00 90.00
With the nearest neighbours (Å) after each atom.
Space group C2/m (No. 12)
Asymmetric unit:
1 Ho 0.0726 0.0000 0.2371 x4  5 Al 3.03-3.20, 2 Ho 3.37
2 Lu 0.1458 0.5000 0.8906 x4  4 Al 2.95-3.23
3 Al 0.0000 0.5000 0.5000 x2  2 Lu 2.95, 4 Ho 3.03
4 Al 0.2377 0.0000 0.6457 x4  2 Al 2.83, 2 Lu 3.11, 1 Ho 3.17

For the calculated total energy, the calculation gives -4.317 eV/atom.

=====

(13)
## HoLu2Al (PBE-GGA)

Data for a geometry-optimized HoLu2Al structure.

abc: 6.6766 11.6419 5.2611
angles: 90.00 90.00 90.00
With the nearest neighbours (Å) after each atom.
Space group Cmcm (No. 63)
Asymmetric unit:
1 Ho 0.0000 0.1747 0.2500 x4  8 Lu 3.22-3.49, 4 Al 3.24-3.34
2 Lu 0.2409 0.4146 0.2500 x8  4 Al 3.21-3.40, 4 Lu 3.22-3.46, 4 Ho 3.22-3.49
3 Al 0.0000 0.3366 0.7500 x4  8 Lu 3.21-3.40, 4 Ho 3.24-3.34

For the energy relative to the lowest polymorph listed for this composition, the calculation gives 0.000 eV/atom.

=====

(14)
## HoLuAl2 (PBE-GGA)

Data for a geometry-optimized HoLuAl2 structure.

abc: 5.0127 6.5645 11.2080
angles: 90.00 90.00 90.00
With the nearest neighbours (Å) after each atom.
Space group Amm2 (No. 38)
Asymmetric unit:
1 Ho 0.0000 0.0000 0.0000 x2  8 Al 3.19-3.28, 4 Lu 3.23-3.27
2 Ho 0.5000 0.0000 0.3326 x2  8 Al 3.13-3.32, 4 Lu 3.21
3 Lu 0.0000 0.2351 0.7432 x4  6 Al 3.06-3.37, 1 Lu 3.09, 4 Ho 3.21-3.27
4 Al 0.0000 0.0000 0.5004 x2  4 Al 3.04, 4 Lu 3.13-3.37, 4 Ho 3.13-3.28
5 Al 0.5000 0.0000 0.8243 x2  2 Al 3.01, 4 Lu 3.08, 4 Ho 3.19-3.28
6 Al 0.5000 0.2167 0.5873 x4  4 Al 2.85-3.04, 2 Lu 3.06

For the calculated total energy, the calculation gives -4.362 eV/atom.

=====

(15)
## HoLuAl (PBE-GGA)

Data for a geometry-optimized HoLuAl structure.

abc: 7.1183 7.1183 7.1183
angles: 90.00 90.00 90.00
With the nearest neighbours (Å) after each atom.
Space group F-43m (No. 216)
Asymmetric unit:
1 Ho 0.0000 0.0000 0.0000 x4  4 Al 3.08, 4 Lu 3.08
2 Lu 0.2500 0.2500 0.2500 x4  4 Ho 3.08
3 Al 0.2500 0.2500 0.7500 x4  4 Ho 3.08

For the energy relative to the lowest polymorph listed for this composition, the calculation gives 0.803 eV/atom.

=====

(16)
## HoLu2Al (PBE-GGA)

Data for a geometry-optimized HoLu2Al structure.

abc: 5.2580 6.9430 11.5425
angles: 90.00 90.00 90.00
With the nearest neighbours (Å) after each atom.
Space group Amm2 (No. 38)
Asymmetric unit:
1 Ho 0.0000 0.0000 0.0000 x2  8 Lu 3.22-3.53, 4 Al 3.42
2 Ho 0.5000 0.0000 0.2977 x2  4 Al 3.29-3.49, 8 Lu 3.30-3.48
3 Lu 0.0000 0.0000 0.4783 x2  4 Al 3.19, 4 Lu 3.34-3.40, 4 Ho 3.36-3.48
4 Lu 0.0000 0.2372 0.7297 x4  2 Al 3.20, 4 Ho 3.22-3.53, 5 Lu 3.29-3.40
5 Lu 0.5000 0.0000 0.8237 x2  4 Al 3.25-3.51, 4 Lu 3.29, 4 Ho 3.32-3.48
6 Al 0.5000 0.2093 0.5722 x4  1 Al 2.91, 5 Lu 3.19-3.25

For the energy relative to the lowest polymorph listed for this composition, the calculation gives 0.103 eV/atom.

=====

(17)
## HoLuAlTe3 (PBE-GGA)

Data for a geometry-optimized HoLuAlTe3 structure.

abc: 4.0300 15.2435 10.4278
angles: 90.00 90.00 90.00
With the nearest neighbours (Å) after each atom.
Space group Cmcm (No. 63)
Asymmetric unit:
1 Ho 0.0000 0.0000 0.0000 x4  6 Te 3.13-3.23, 4 Al 3.31
2 Lu 0.0000 0.2171 0.2500 x4  6 Te 3.06-3.14
3 Al 0.0000 0.4784 0.7500 x4  4 Te 2.90-3.01
4 Te 0.0000 0.1251 0.7500 x4  2 Al 3.01, 2 Lu 3.14, 2 Ho 3.23
5 Te 0.0000 0.3466 0.5496 x8  1 Al 2.90, 2 Lu 3.06, 2 Ho 3.13

For the energy relative to the lowest polymorph listed for this composition, the calculation gives 0.000 eV/atom.

=====

(18)
## HoLuAlTe3 (PBE-GGA)

Data for a geometry-optimized HoLuAlTe3 structure.

abc: 4.0509 15.1825 10.3907
angles: 90.00 90.00 90.00
With the nearest neighbours (Å) after each atom.
Space group Cmcm (No. 63)
Asymmetric unit:
1 Ho 0.0000 0.2161 0.2500 x4  6 Te 3.10-3.19
2 Lu 0.0000 0.0000 0.0000 x4  6 Te 3.10-3.19, 4 Al 3.31
3 Al 0.0000 0.4774 0.7500 x4  4 Te 2.89-2.98
4 Te 0.0000 0.1218 0.7500 x4  2 Al 2.98, 2 Ho 3.19, 2 Lu 3.19
5 Te 0.0000 0.3487 0.5445 x8  1 Al 2.89, 2 Lu 3.10, 2 Ho 3.10

For the energy relative to the lowest polymorph listed for this composition, the calculation gives 0.005 eV/atom.

=====

(19)
## HoMgAl4Ni2 (PBE-GGA)

Data for a geometry-optimized HoMgAl4Ni2 structure.

abc: 6.8891 4.0425 9.5571
angles: 90.00 90.00 90.00
With the nearest neighbours (Å) after each atom.
Space group Amm2 (No. 38)
Asymmetric unit:
1 Ho 0.0000 0.0000 0.0000 x2  3 Ni 2.68-2.92
2 Mg 0.5000 0.0000 0.1274 x2  1 Ni 2.62
3 Al 0.2034 0.0000 0.7115 x4  3 Ni 2.45-2.55
4 Al 0.3080 0.0000 0.4101 x4  3 Ni 2.46-2.48, 1 Al 2.64
5 Ni 0.0000 0.0000 0.2800 x2  6 Al 2.46-2.55, 1 Ho 2.68
6 Ni 0.5000 0.0000 0.8530 x2  6 Al 2.45-2.48, 1 Mg 2.62

For the calculated total energy, the calculation gives -4.550 eV/atom.

=====

(20)
## Ho3Mg3AlPd2 (PBE-GGA)

Data for a geometry-optimized Ho3Mg3AlPd2 structure.

abc: 7.3205 7.3205 4.2776
angles: 90.00 90.00 120.00
With the nearest neighbours (Å) after each atom.
Space group P-62m (No. 189)
Asymmetric unit:
1 Ho 0.0000 0.4229 0.0000 x3  4 Pd 3.06, 1 Al 3.10, 2 Mg 3.22
2 Mg 0.0000 0.7516 0.5000 x3  2 Pd 2.80, 2 Al 2.81
3 Al 0.0000 0.0000 0.0000 x1  6 Mg 2.81, 3 Ho 3.10
4 Pd 0.3333 0.6667 0.5000 x2  3 Mg 2.80, 6 Ho 3.06

For the calculated total energy, the calculation gives -4.125 eV/atom.

=====

Taking the records one at a time from the top gives magnetic moment values of 0.0075 0.0015 0.0003 0.0034 0.0024 0.0016 0.0126 0.0001 0.0010 0.0964 0.0047 0.0009 0.0089 0.0006 0.0008 0.0009 0.0012 0.0004 0.0001 0.0014 μB/atom.